No. 1
A relaxed OsSe2 crystal. Source: Alexandria via LeMat-Bulk, functional PBE-GGA.

Results
As for the crystal system: monoclinic. Its calculated total energy is -71.12 eV for the cell shown. As for the volume: 312.4 Å³ per cell.

a = 13.4243 Å, b = 3.4492 Å, c = 7.4425 Å
α = 90.00°, β = 114.96°, γ = 90.00°
Last column: nearest neighbours and their distance in Å.
Positions (direct):
Os 0.0000 0.0000 0.0000  6 Se 2.48-2.53
Os 0.1304 0.5000 0.3680  4 Se 2.38-2.39
Os 0.5000 0.5000 0.0000  6 Se 2.48-2.53
Os 0.6304 0.0000 0.3680  4 Se 2.38-2.39
Se 0.1488 0.5000 0.0629  3 Os 2.39-2.53
Se 0.1877 0.0000 0.6137  2 Os 2.39
Se 0.4156 0.0000 0.7409  2 Os 2.48
Se 0.4368 0.0000 0.1764  3 Os 2.38-2.52
Se 0.6488 0.0000 0.0629  3 Os 2.39-2.53
Se 0.6877 0.5000 0.6137  2 Os 2.39
Se 0.9156 0.5000 0.7409  2 Os 2.48
Se 0.9368 0.5000 0.1764  3 Os 2.38-2.52

No. 2
A relaxed OsSe2 crystal. Source: Alexandria via LeMat-Bulk, functional PBE-GGA.

Results
As for the crystal system: orthorhombic. Its calculated total energy is -72.00 eV for the cell shown. As for the volume: 254.4 Å³ per cell.

a = 3.7379 Å, b = 14.0660 Å, c = 4.8392 Å
α = 90.00°, β = 90.00°, γ = 90.00°
Last column: nearest neighbours and their distance in Å.
Positions (direct):
Os 0.0000 0.1614 0.2500  6 Se 2.41-2.60
Os 0.0000 0.8386 0.7500  6 Se 2.41-2.60
Os 0.5000 0.3386 0.7500  6 Se 2.41-2.60
Os 0.5000 0.6614 0.2500  6 Se 2.41-2.60
Se 0.0000 0.2098 0.7500  4 Os 2.51-2.60
Se 0.0000 0.4467 0.7500  2 Os 2.41
Se 0.0000 0.5533 0.2500  2 Os 2.41
Se 0.0000 0.7902 0.2500  4 Os 2.51-2.60
Se 0.5000 0.0533 0.2500  2 Os 2.41
Se 0.5000 0.2902 0.2500  4 Os 2.51-2.60
Se 0.5000 0.7098 0.7500  4 Os 2.51-2.60
Se 0.5000 0.9467 0.7500  2 Os 2.41

No. 3
A relaxed OsSe3 crystal. Source: Alexandria via LeMat-Bulk, functional PBE-GGA.

Results
As for the relative energy among the computed polymorphs: 0.000 eV per atom. As for the crystal system: monoclinic. Its calculated total energy is -41.79 eV for the cell shown. As for the volume: 171.5 Å³ per cell.

a = 7.1133 Å, b = 3.0998 Å, c = 7.8997 Å
α = 90.00°, β = 100.14°, γ = 90.00°
Last column: nearest neighbours and their distance in Å.
Positions (direct):
Os 0.0000 0.0000 0.0000  6 Se 2.52-2.53
Os 0.5000 0.5000 0.0000  6 Se 2.52-2.53
Se 0.0000 0.5000 0.5000  2 Se 2.62
Se 0.1675 0.5000 0.8231  3 Os 2.52-2.53, 1 Se 2.62
Se 0.3325 0.0000 0.1769  3 Os 2.52-2.53, 1 Se 2.62
Se 0.5000 0.0000 0.5000  2 Se 2.62
Se 0.6675 0.0000 0.8231  3 Os 2.52-2.53, 1 Se 2.62
Se 0.8325 0.5000 0.1769  3 Os 2.52-2.53, 1 Se 2.62

No. 4
A relaxed OsSe3 crystal. Source: Alexandria via LeMat-Bulk, functional PBE-GGA.

Results
As for the relative energy among the computed polymorphs: 0.942 eV per atom. As for the crystal system: cubic. Its calculated total energy is -17.12 eV for the cell shown. As for the volume: 71.3 Å³ per cell.

a = 4.1463 Å, b = 4.1463 Å, c = 4.1463 Å
α = 90.00°, β = 90.00°, γ = 90.00°
Last column: nearest neighbours and their distance in Å.
Positions (direct):
Os 0.0000 0.0000 0.0000  12 Se 2.93
Se 0.0000 0.5000 0.5000  8 Se 2.93, 4 Os 2.93
Se 0.5000 0.0000 0.5000  8 Se 2.93, 4 Os 2.93
Se 0.5000 0.5000 0.0000  8 Se 2.93, 4 Os 2.93

No. 5
A relaxed Os5Se crystal. Source: Alexandria via LeMat-Bulk, functional PBE-GGA.

Results
As for the relative energy among the computed polymorphs: 0.000 eV per atom. As for the crystal system: monoclinic. Its calculated total energy is -114.11 eV for the cell shown. As for the volume: 178.6 Å³ per cell.

a = 10.0843 Å, b = 2.8161 Å, c = 6.5944 Å
α = 90.00°, β = 107.54°, γ = 90.00°
Last column: nearest neighbours and their distance in Å.
Positions (direct):
Os 0.0000 0.0000 0.0000  10 Os 2.55-2.82
Os 0.0525 0.0000 0.6450  10 Os 2.55-2.82, 2 Se 2.79
Os 0.1210 0.5000 0.3448  1 Se 2.50, 4 Os 2.64-2.68
Os 0.2203 0.5000 0.9686  10 Os 2.69-2.94, 2 Se 2.71
Os 0.3207 0.0000 0.6825  1 Se 2.61, 11 Os 2.64-2.88
Os 0.5000 0.5000 0.0000  10 Os 2.55-2.82
Os 0.5525 0.5000 0.6450  10 Os 2.55-2.82, 2 Se 2.79
Os 0.6210 0.0000 0.3448  1 Se 2.50, 4 Os 2.64-2.68
Os 0.7203 0.0000 0.9686  10 Os 2.69-2.94, 2 Se 2.71
Os 0.8207 0.5000 0.6825  1 Se 2.61, 11 Os 2.64-2.88
Se 0.3677 0.0000 0.3146  6 Os 2.50-2.79
Se 0.8677 0.5000 0.3146  6 Os 2.50-2.79

No. 6
A relaxed Os4Se crystal. Source: Alexandria via LeMat-Bulk, functional PBE-GGA.

Results
As for the relative energy among the computed polymorphs: 1.538 eV per atom. As for the crystal system: cubic. Its calculated total energy is -37.23 eV for the cell shown. As for the volume: 88.6 Å³ per cell.

a = 4.4575 Å, b = 4.4575 Å, c = 4.4575 Å
α = 90.00°, β = 90.00°, γ = 90.00°
Last column: nearest neighbours and their distance in Å.
Positions (direct):
Os 0.0000 0.0000 0.0000  12 Os 3.15
Os 0.0000 0.5000 0.5000  2 Se 2.23
Os 0.5000 0.0000 0.5000  2 Se 2.23
Os 0.5000 0.5000 0.0000  2 Se 2.23
Se 0.5000 0.5000 0.5000  6 Os 2.23

No. 7
A relaxed OsSe2 crystal. Source: Alexandria via LeMat-Bulk, functional PBE-GGA.

Results
As for the crystal system: tetragonal. Its calculated total energy is -34.33 eV for the cell shown. As for the volume: 120.0 Å³ per cell.

a = 3.0335 Å, b = 3.0335 Å, c = 13.0406 Å
α = 90.00°, β = 90.00°, γ = 90.00°
Last column: nearest neighbours and their distance in Å.
Positions (direct):
Os 0.0000 0.0000 0.0000  8 Se 2.66
Os 0.5000 0.5000 0.5000  8 Se 2.66
Se 0.0000 0.0000 0.3792  4 Os 2.66
Se 0.0000 0.0000 0.6208  4 Os 2.66
Se 0.5000 0.5000 0.1208  4 Os 2.66
Se 0.5000 0.5000 0.8792  4 Os 2.66

No. 8
A relaxed OsSe2 crystal. Source: Alexandria via LeMat-Bulk, functional PBE-GGA.

Results
As for the crystal system: hexagonal. Its calculated total energy is -50.24 eV for the cell shown. As for the volume: 158.8 Å³ per cell.

a = 6.7816 Å, b = 6.7816 Å, c = 3.9860 Å
α = 90.00°, β = 90.00°, γ = 120.00°
Last column: nearest neighbours and their distance in Å.
Positions (direct):
Os 0.0000 0.0000 0.0000  9 Se 2.68-2.72
Os 0.3333 0.6667 0.5000  3 Se 2.53
Os 0.6667 0.3333 0.5000  3 Se 2.53
Se 0.0000 0.2648 0.5000  4 Os 2.53-2.68
Se 0.0000 0.5990 0.0000  5 Os 2.72-2.87, 2 Se 3.02
Se 0.2648 0.0000 0.5000  4 Os 2.53-2.68
Se 0.4010 0.4010 0.0000  5 Os 2.72-2.87, 2 Se 3.02
Se 0.5990 0.0000 0.0000  5 Os 2.72-2.87, 2 Se 3.02
Se 0.7352 0.7352 0.5000  4 Os 2.53-2.68

No. 9
A relaxed OsSe3 crystal. Source: Alexandria via LeMat-Bulk, functional PBE-GGA.

Results
As for the relative energy among the computed polymorphs: 0.389 eV per atom. As for the crystal system: cubic. Its calculated total energy is -38.67 eV for the cell shown. As for the volume: 148.1 Å³ per cell.

a = 5.2905 Å, b = 5.2905 Å, c = 5.2905 Å
α = 90.00°, β = 90.00°, γ = 90.00°
Last column: nearest neighbours and their distance in Å.
Positions (direct):
Os 0.0000 0.0000 0.0000  6 Se 2.65
Os 0.5000 0.5000 0.5000  6 Se 2.65
Se 0.0000 0.0000 0.5000  4 Se 2.65, 2 Os 2.65
Se 0.0000 0.5000 0.0000  4 Se 2.65, 2 Os 2.65
Se 0.0000 0.5000 0.5000  2 Os 2.65, 4 Se 2.65
Se 0.5000 0.0000 0.0000  4 Se 2.65, 2 Os 2.65
Se 0.5000 0.0000 0.5000  2 Os 2.65, 4 Se 2.65
Se 0.5000 0.5000 0.0000  2 Os 2.65, 4 Se 2.65

No. 10
A relaxed Os2Se crystal. Source: Alexandria via LeMat-Bulk, functional PBE-GGA.

Results
As for the relative energy among the computed polymorphs: 0.493 eV per atom. As for the crystal system: orthorhombic. Its calculated total energy is -94.03 eV for the cell shown. As for the volume: 186.4 Å³ per cell.

a = 2.9310 Å, b = 16.6212 Å, c = 3.8257 Å
α = 90.00°, β = 90.00°, γ = 90.00°
Last column: nearest neighbours and their distance in Å.
Positions (direct):
Os 0.0000 0.0638 0.2500  4 Se 2.52
Os 0.0000 0.2871 0.7500  2 Se 2.58, 6 Os 2.71-2.88
Os 0.0000 0.7129 0.2500  2 Se 2.58, 6 Os 2.71-2.88
Os 0.0000 0.9362 0.7500  4 Se 2.52
Os 0.5000 0.2129 0.2500  2 Se 2.58, 6 Os 2.71-2.88
Os 0.5000 0.4362 0.7500  4 Se 2.52
Os 0.5000 0.5638 0.2500  4 Se 2.52
Os 0.5000 0.7871 0.7500  2 Se 2.58, 6 Os 2.71-2.88
Se 0.0000 0.3912 0.2500  6 Os 2.52-2.58
Se 0.0000 0.6088 0.7500  6 Os 2.52-2.58
Se 0.5000 0.1088 0.7500  6 Os 2.52-2.58
Se 0.5000 0.8912 0.2500  6 Os 2.52-2.58

No. 11
A relaxed OsSe3 crystal. Source: Alexandria via LeMat-Bulk, functional PBE-GGA.

Results
As for the relative energy among the computed polymorphs: 0.679 eV per atom. As for the crystal system: cubic. Its calculated total energy is -72.71 eV for the cell shown. As for the volume: 276.1 Å³ per cell.

a = 6.5120 Å, b = 6.5120 Å, c = 6.5120 Å
α = 90.00°, β = 90.00°, γ = 90.00°
Last column: nearest neighbours and their distance in Å.
Positions (direct):
Os 0.0000 0.0000 0.0000  8 Se 2.82
Os 0.0000 0.5000 0.5000  8 Se 2.82
Os 0.5000 0.0000 0.5000  8 Se 2.82
Os 0.5000 0.5000 0.0000  8 Se 2.82
Se 0.0000 0.0000 0.5000  8 Se 2.82
Se 0.0000 0.5000 0.0000  8 Se 2.82
Se 0.2500 0.2500 0.2500  4 Se 2.82, 4 Os 2.82
Se 0.2500 0.2500 0.7500  4 Se 2.82, 4 Os 2.82
Se 0.2500 0.7500 0.2500  4 Os 2.82, 4 Se 2.82
Se 0.2500 0.7500 0.7500  4 Se 2.82, 4 Os 2.82
Se 0.5000 0.0000 0.0000  8 Se 2.82
Se 0.5000 0.5000 0.5000  8 Se 2.82
Se 0.7500 0.2500 0.2500  4 Os 2.82, 4 Se 2.82
Se 0.7500 0.2500 0.7500  4 Se 2.82, 4 Os 2.82
Se 0.7500 0.7500 0.2500  4 Se 2.82, 4 Os 2.82
Se 0.7500 0.7500 0.7500  4 Os 2.82, 4 Se 2.82

No. 12
A relaxed OsSe2 crystal. Source: Alexandria via LeMat-Bulk, functional PBE-GGA.

Results
As for the crystal system: cubic. Its calculated total energy is -74.96 eV for the cell shown. As for the volume: 217.0 Å³ per cell.

a = 6.0093 Å, b = 6.0093 Å, c = 6.0093 Å
α = 90.00°, β = 90.00°, γ = 90.00°
Last column: nearest neighbours and their distance in Å.
Positions (direct):
Os 0.0000 0.0000 0.0000  6 Se 2.50
Os 0.0000 0.5000 0.5000  6 Se 2.50
Os 0.5000 0.0000 0.5000  6 Se 2.50
Os 0.5000 0.5000 0.0000  6 Se 2.50
Se 0.1227 0.6227 0.8773  3 Os 2.50, 1 Se 2.55
Se 0.1227 0.8773 0.3773  3 Os 2.50, 1 Se 2.55
Se 0.3773 0.1227 0.8773  3 Os 2.50, 1 Se 2.55
Se 0.3773 0.3773 0.3773  3 Os 2.50, 1 Se 2.55
Se 0.6227 0.6227 0.6227  3 Os 2.50, 1 Se 2.55
Se 0.6227 0.8773 0.1227  3 Os 2.50, 1 Se 2.55
Se 0.8773 0.1227 0.6227  3 Os 2.50, 1 Se 2.55
Se 0.8773 0.3773 0.1227  3 Os 2.50, 1 Se 2.55

No. 13
A relaxed OsSe3 crystal. Source: Alexandria via LeMat-Bulk, functional PBE-GGA.

Results
As for the relative energy among the computed polymorphs: 0.128 eV per atom. As for the crystal system: hexagonal. Its calculated total energy is -20.38 eV for the cell shown. As for the volume: 86.0 Å³ per cell.

a = 3.3772 Å, b = 3.3772 Å, c = 8.7029 Å
α = 90.00°, β = 90.00°, γ = 120.00°
Last column: nearest neighbours and their distance in Å.
Positions (direct):
Os 0.0000 0.0000 0.0000  6 Se 2.51
Se 0.0000 0.0000 0.5000  12 Se 3.38-3.39
Se 0.6667 0.3333 0.1817  3 Os 2.51
Se 0.6667 0.3333 0.8183  3 Os 2.51

No. 14
A relaxed OsSe3 crystal. Source: Alexandria via LeMat-Bulk, functional PBE-GGA.

Results
As for the relative energy among the computed polymorphs: 0.720 eV per atom. As for the crystal system: tetragonal. Its calculated total energy is -18.01 eV for the cell shown. As for the volume: 69.4 Å³ per cell.

a = 4.7176 Å, b = 4.7176 Å, c = 3.1175 Å
α = 90.00°, β = 90.00°, γ = 90.00°
Last column: nearest neighbours and their distance in Å.
Positions (direct):
Os 0.0000 0.0000 0.0000  8 Se 2.83, 2 Os 3.12
Se 0.0000 0.5000 0.5000  6 Se 2.83-3.12, 4 Os 2.83
Se 0.5000 0.0000 0.5000  6 Se 2.83-3.12, 4 Os 2.83
Se 0.5000 0.5000 0.0000  10 Se 2.83-3.12